No. 1
# ErTmHf PBE relaxed
# V ... 163.6 Å³ per cell
# Excess energy over the best structure of this formula in the dataset ... 0 meV/atom
data_ErTmHf
_symmetry_space_group_name_H-M 'P -1'
_symmetry_Int_Tables_number 2
_symmetry_space_group_name_Hall '-P 1'
_cell_length_a 3.389
_cell_length_b 6.368
_cell_length_c 8.080
_cell_angle_alpha 77.18
_cell_angle_beta 89.99
_cell_angle_gamma 74.59
loop_
_atom_site_label
_atom_site_type_symbol
_atom_site_fract_x
_atom_site_fract_y
_atom_site_fract_z
Er1 Er 0.198 0.102 0.154
Tm1 Tm 0.473 0.553 0.212
Hf1 Hf 0.145 0.211 0.524

***

No. 2
# RbP2NCl PBE relaxed
# V ... 141.0 Å³ per cell
# Excess energy over the best structure of this formula in the dataset ... 0 meV/atom
# E_form (uncorrected) ... 375 meV per atom
data_RbP2NCl
_symmetry_space_group_name_H-M 'P 4/m m m'
_symmetry_Int_Tables_number 123
_symmetry_space_group_name_Hall '-P 4 2'
_cell_length_a 4.068
_cell_length_b 4.068
_cell_length_c 8.519
_cell_angle_alpha 90.00
_cell_angle_beta 90.00
_cell_angle_gamma 90.00
loop_
_atom_site_label
_atom_site_type_symbol
_atom_site_fract_x
_atom_site_fract_y
_atom_site_fract_z
Rb1 Rb 0.000 0.000 0.000
P1 P 0.000 0.500 0.500
N1 N 0.500 0.500 0.500
Cl1 Cl 0.500 0.500 0.000

***

No. 3
# K2FeNi PBE relaxed
# V ... 258.1 Å³ per cell
# Excess energy over the best structure of this formula in the dataset ... 629 meV/atom
data_K2FeNi
_symmetry_space_group_name_H-M 'R -3 m'
_symmetry_Int_Tables_number 166
_symmetry_space_group_name_Hall '-R 3 2"'
_cell_length_a 2.9977
_cell_length_b 2.9977
_cell_length_c 33.1611
_cell_angle_alpha 90.00
_cell_angle_beta 90.00
_cell_angle_gamma 120.00
loop_
_atom_site_label
_atom_site_type_symbol
_atom_site_fract_x
_atom_site_fract_y
_atom_site_fract_z
K1 K 0.0000 0.0000 0.2448
Fe1 Fe 0.0000 0.0000 0.0000
Ni1 Ni 0.0000 0.0000 0.5000

***

No. 4
# LiLaMg2Hg4 PBE relaxed
# V ... 554.1 Å³ per cell
# Electronic total energy ... -42.9 eV/cell
data_LiLaMg2Hg4
_symmetry_space_group_name_H-M 'R -3 m'
_symmetry_Int_Tables_number 166
_symmetry_space_group_name_Hall '-R 3 2"'
_cell_length_a 4.8947
_cell_length_b 4.8947
_cell_length_c 26.7040
_cell_angle_alpha 90.00
_cell_angle_beta 90.00
_cell_angle_gamma 120.00
loop_
_atom_site_label
_atom_site_type_symbol
_atom_site_fract_x
_atom_site_fract_y
_atom_site_fract_z
Li1 Li 0.0000 0.0000 0.0000
La1 La 0.0000 0.0000 0.5000
Mg1 Mg 0.0000 0.0000 0.2580
Hg1 Hg 0.0000 0.0000 0.1093
Hg2 Hg 0.0000 0.0000 0.3697

***

No. 5
# Ac2HgIr2 PBE relaxed
# V ... 259.6 Å³ per cell
# Excess energy over the best structure of this formula in the dataset ... 16 meV/atom
data_Ac2HgIr2
_symmetry_space_group_name_H-M 'I m m m'
_symmetry_Int_Tables_number 71
_symmetry_space_group_name_Hall '-I 2 2'
_cell_length_a 4.592
_cell_length_b 6.250
_cell_length_c 9.046
_cell_angle_alpha 90.00
_cell_angle_beta 90.00
_cell_angle_gamma 90.00
loop_
_atom_site_label
_atom_site_type_symbol
_atom_site_fract_x
_atom_site_fract_y
_atom_site_fract_z
Ac1 Ac 0.000 0.000 0.209
Hg1 Hg 0.000 0.500 0.000
Ir1 Ir 0.000 0.296 0.500

***

No. 6
# AgIrAu2 PBE relaxed
# V ... 297.2 Å³ per cell
# Excess energy over the best structure of this formula in the dataset ... 417 meV/atom
data_AgIrAu2
_symmetry_space_group_name_H-M 'I -4 2 d'
_symmetry_Int_Tables_number 122
_symmetry_space_group_name_Hall 'I -4 2bw'
_cell_length_a 3.926
_cell_length_b 3.926
_cell_length_c 19.275
_cell_angle_alpha 90.00
_cell_angle_beta 90.00
_cell_angle_gamma 90.00
loop_
_atom_site_label
_atom_site_type_symbol
_atom_site_fract_x
_atom_site_fract_y
_atom_site_fract_z
Ag1 Ag 0.000 0.000 0.000
Ir1 Ir 0.000 0.000 0.500
Au1 Au 0.243 0.250 0.625

***

No. 7
# NaY3W PBE relaxed
# V ... 170.0 Å³ per cell
# Excess energy over the best structure of this formula in the dataset ... 0 meV/atom
data_NaY3W
_symmetry_space_group_name_H-M 'P m -3 m'
_symmetry_Int_Tables_number 221
_symmetry_space_group_name_Hall '-P 4 2 3'
_cell_length_a 5.540
_cell_length_b 5.540
_cell_length_c 5.540
_cell_angle_alpha 90.00
_cell_angle_beta 90.00
_cell_angle_gamma 90.00
loop_
_atom_site_label
_atom_site_type_symbol
_atom_site_fract_x
_atom_site_fract_y
_atom_site_fract_z
Na1 Na 0.000 0.000 0.000
Y1 Y 0.000 0.500 0.500
W1 W 0.500 0.500 0.500

***

No. 8
# LiAu2Se PBE relaxed
# V ... 288.8 Å³ per cell
# Excess energy over the best structure of this formula in the dataset ... 174 meV/atom
# E_form (uncorrected) ... -140 meV per atom
data_LiAu2Se
_symmetry_space_group_name_H-M 'F m -3 m'
_symmetry_Int_Tables_number 225
_symmetry_space_group_name_Hall '-F 4 2 3'
_cell_length_a 6.610
_cell_length_b 6.610
_cell_length_c 6.610
_cell_angle_alpha 90.00
_cell_angle_beta 90.00
_cell_angle_gamma 90.00
loop_
_atom_site_label
_atom_site_type_symbol
_atom_site_fract_x
_atom_site_fract_y
_atom_site_fract_z
Li1 Li 0.000 0.000 0.000
Au1 Au 0.250 0.250 0.250
Se1 Se 0.000 0.000 0.500

***

No. 9
# InSb3Pb PBE relaxed
# V ... 197.5 Å³ per cell
# Excess energy over the best structure of this formula in the dataset ... 168 meV/atom
# E_form (uncorrected) ... 779 meV per atom
data_InSb3Pb
_symmetry_space_group_name_H-M 'P m -3 m'
_symmetry_Int_Tables_number 221
_symmetry_space_group_name_Hall '-P 4 2 3'
_cell_length_a 5.824
_cell_length_b 5.824
_cell_length_c 5.824
_cell_angle_alpha 90.00
_cell_angle_beta 90.00
_cell_angle_gamma 90.00
loop_
_atom_site_label
_atom_site_type_symbol
_atom_site_fract_x
_atom_site_fract_y
_atom_site_fract_z
In1 In 0.000 0.000 0.000
Sb1 Sb 0.000 0.500 0.500
Pb1 Pb 0.500 0.500 0.500

***

No. 10
# YSnI2O PBE relaxed
# V ... 159.6 Å³ per cell
# Excess energy over the best structure of this formula in the dataset ... 725 meV/atom
# E_form (uncorrected) ... -420 meV per atom
data_YSnI2O
_symmetry_space_group_name_H-M 'P 4/m m m'
_symmetry_Int_Tables_number 123
_symmetry_space_group_name_Hall '-P 4 2'
_cell_length_a 6.274
_cell_length_b 6.274
_cell_length_c 4.055
_cell_angle_alpha 90.00
_cell_angle_beta 90.00
_cell_angle_gamma 90.00
loop_
_atom_site_label
_atom_site_type_symbol
_atom_site_fract_x
_atom_site_fract_y
_atom_site_fract_z
Y1 Y 0.000 0.000 0.000
Sn1 Sn 0.500 0.500 0.500
I1 I 0.000 0.500 0.500
O1 O 0.500 0.500 0.000

***

No. 11
# YCNO2 PBE relaxed
# V ... 45.2 Å³ per cell
# E_form (uncorrected) ... -366 meV per atom
data_YCNO2
_symmetry_space_group_name_H-M 'P 4/m m m'
_symmetry_Int_Tables_number 123
_symmetry_space_group_name_Hall '-P 4 2'
_cell_length_a 4.010
_cell_length_b 4.010
_cell_length_c 2.814
_cell_angle_alpha 90.00
_cell_angle_beta 90.00
_cell_angle_gamma 90.00
loop_
_atom_site_label
_atom_site_type_symbol
_atom_site_fract_x
_atom_site_fract_y
_atom_site_fract_z
Y1 Y 0.000 0.000 0.000
C1 C 0.500 0.500 0.500
N1 N 0.500 0.500 0.000
O1 O 0.000 0.500 0.500

***

No. 12
# RbErTm4S8 PBE relaxed
# V ... 1161.0 Å³ per cell
# E_form (uncorrected) ... -1890 meV per atom
data_RbErTm4S8
_symmetry_space_group_name_H-M 'R 3 m'
_symmetry_Int_Tables_number 160
_symmetry_space_group_name_Hall 'R 3 -2"'
_cell_length_a 8.1698
_cell_length_b 8.1698
_cell_length_c 20.0851
_cell_angle_alpha 90.00
_cell_angle_beta 90.00
_cell_angle_gamma 120.00
loop_
_atom_site_label
_atom_site_type_symbol
_atom_site_fract_x
_atom_site_fract_y
_atom_site_fract_z
Rb1 Rb 0.0000 0.0000 0.0000
Er1 Er 0.0000 0.0000 0.3691
Tm1 Tm 0.0000 0.0000 0.7491
Tm2 Tm 0.0124 0.5062 0.8757
S1 S 0.0000 0.0000 0.1437
S2 S 0.0000 0.0000 0.6170
S3 S 0.0187 0.5093 0.1267
S4 S 0.1919 0.3837 0.9505

***

No. 13
# SrTm2ReN4 PBE relaxed
# V ... 492.5 Å³ per cell
# E_form (uncorrected) ... -1020 meV per atom
data_SrTm2ReN4
_symmetry_space_group_name_H-M 'C m c m'
_symmetry_Int_Tables_number 63
_symmetry_space_group_name_Hall '-C 2c 2'
_cell_length_a 3.414
_cell_length_b 11.968
_cell_length_c 12.055
_cell_angle_alpha 90.00
_cell_angle_beta 90.00
_cell_angle_gamma 90.00
loop_
_atom_site_label
_atom_site_type_symbol
_atom_site_fract_x
_atom_site_fract_y
_atom_site_fract_z
Sr1 Sr 0.000 0.067 0.250
Tm1 Tm 0.000 0.372 0.041
Re1 Re 0.000 0.193 0.750
N1 N 0.000 0.000 0.000
N2 N 0.000 0.258 0.608
N3 N 0.000 0.399 0.250